1.
# K2LiAuF6

Crystalline K2LiAuF6 at its relaxed geometry (PBE, OQMD via LeMat-Bulk).

Cell and atoms, written as POSCAR:
```
K2LiAuF6
1.0
5.7311 0.0000 0.0000
-0.0037 5.7347 0.0000
-0.0004 -0.0023 8.1191
K Li Au F
4 2 2 12
Direct
0.0001 0.0001 0.2500
0.9999 0.9999 0.7500
0.5002 0.5004 0.2499
0.4998 0.4996 0.7501
0.0000 0.5000 0.0000
0.5000 0.0000 0.5000
0.0000 0.5000 0.5000
0.5000 0.0000 0.0000
0.0012 0.5001 0.2400
0.2339 0.7434 0.9992
0.2438 0.2645 0.9998
0.2582 0.2373 0.5004
0.2635 0.7580 0.5007
0.4992 0.0002 0.2602
0.5008 0.9998 0.7398
0.7365 0.2420 0.4993
0.7418 0.7627 0.4996
0.7562 0.7355 0.0002
0.7661 0.2566 0.0008
0.9988 0.4999 0.7600
```

Uncorrected energy (eV/cell): -78.31
Space-group type: P-1
Energy above the most stable polymorph in this dataset (meV per atom): 56.5

2.
# Li4TlCuPd2

Crystalline Li4TlCuPd2 at its relaxed geometry (PBE, OQMD via LeMat-Bulk).

Cell and atoms, written as POSCAR:
```
Li4TlCuPd2
1.0
4.3696 0.0000 0.0000
0.0000 4.3696 0.0000
0.0000 0.0000 6.2629
Li Tl Cu Pd
4 1 1 2
Direct
0.0000 0.0000 0.0000
0.0000 0.5000 0.2246
0.5000 0.0000 0.7754
0.5000 0.5000 0.5000
0.0000 0.0000 0.5000
0.5000 0.5000 0.0000
0.0000 0.5000 0.7745
0.5000 0.0000 0.2255
```

Uncorrected energy (eV/cell): -26.64
Space-group type: P-4m2

3.
# DyFeW

Crystalline DyFeW at its relaxed geometry (PBE, OQMD via LeMat-Bulk).

Cell and atoms, written as POSCAR:
```
DyFeW
1.0
0.0000 3.0680 3.0680
3.0680 0.0000 3.0680
3.0680 3.0680 0.0000
Dy Fe W
1 1 1
Direct
0.0000 0.0000 0.0000
0.2500 0.2500 0.2500
0.5000 0.5000 0.5000
```

Energy of formation from the pure elements (eV/atom): 0.65
Uncorrected energy (eV/cell): -23.94
Space-group type: F-43m

4.
# Tb2Ga8Fe9

Crystalline Tb2Ga8Fe9 at its relaxed geometry (PBE, OQMD via LeMat-Bulk).

Cell and atoms, written as POSCAR:
```
Tb2Ga8Fe9
1.0
4.3754 2.5261 4.1785
-4.3754 2.5261 4.1785
0.0000 -5.0523 4.1785
Tb Ga Fe
2 8 9
Direct
0.1367 0.1367 0.1367
0.8633 0.8633 0.8633
0.1804 0.5000 0.8196
0.1804 0.8196 0.5000
0.3717 0.3717 0.3717
0.5000 0.1804 0.8196
0.5000 0.8196 0.1804
0.6283 0.6283 0.6283
0.8196 0.1804 0.5000
0.8196 0.5000 0.1804
0.0000 0.5000 0.5000
0.1641 0.1641 0.6636
0.1641 0.6636 0.1641
0.3364 0.8359 0.8359
0.5000 0.0000 0.5000
0.5000 0.5000 0.0000
0.6636 0.1641 0.1641
0.8359 0.3364 0.8359
0.8359 0.8359 0.3364
```

Uncorrected energy (eV/cell): -114.62
Space-group type: R-3m

5.
# Na4CdGa3

Crystalline Na4CdGa3 at its relaxed geometry (PBE, OQMD via LeMat-Bulk).

Cell and atoms, written as POSCAR:
```
Na4CdGa3
1.0
4.9723 0.0000 0.0000
0.0000 4.9723 0.0000
0.0000 0.0000 7.0917
Na Cd Ga
4 1 3
Direct
0.0000 0.0000 0.0000
0.0000 0.5000 0.7438
0.5000 0.0000 0.2562
0.5000 0.5000 0.5000
0.5000 0.5000 0.0000
0.0000 0.0000 0.5000
0.0000 0.5000 0.2588
0.5000 0.0000 0.7412
```

Uncorrected energy (eV/cell): -15.84
Space-group type: P-4m2

6.
# NaGdMgS3

Crystalline NaGdMgS3 at its relaxed geometry (PBE, OQMD via LeMat-Bulk).

Cell and atoms, written as POSCAR:
```
NaGdMgS3
1.0
2.0146 -6.5639 0.0000
2.0146 6.5639 0.0000
0.0000 0.0000 10.9370
Na Gd Mg S
2 2 2 6
Direct
0.2504 0.7496 0.7500
0.7496 0.2504 0.2500
0.0000 0.0000 0.0000
0.0000 0.0000 0.5000
0.4710 0.5290 0.2500
0.5290 0.4710 0.7500
0.0777 0.9223 0.2500
0.3689 0.6311 0.0701
0.3689 0.6311 0.4299
0.6311 0.3689 0.5701
0.6311 0.3689 0.9299
0.9223 0.0777 0.7500
```

Uncorrected energy (eV/cell): -58.64
Space-group type: Cmcm
Energy above the most stable polymorph in this dataset (meV per atom): 47.7